An optimized crystal structure of TlPd4Au2. Source: Alexandria, functional PBE.

Results
- ρ (g/cm3) = 14.2
- energy relative to the lowest polymorph listed for this composition (meV/atom) = 0.0
- symmetry = P1 (1)
- magnetization (μB per formula unit) = 0.0
- formation enthalpy at 0 K (meV per atom) = -121
- VASP energy (eV/atom) = -4.36

a b c (Å): 7.119 5.738 8.326
angles (deg): 116.84 121.25 93.16
Element x y z (fractional)
Au (0.720, 0.300, 0.316)
Au (0.584, 0.495, 0.600)
Au (0.028, 0.377, 0.759)
Au (0.723, 0.802, 0.317)
Pd (0.877, 0.584, 0.039)
Pd (0.298, 0.935, 0.176)
Pd (0.300, 0.441, 0.180)
Pd (0.153, 0.178, 0.461)
Pd (0.596, 0.016, 0.607)
Pd (0.021, 0.868, 0.748)
Pd (0.450, 0.246, 0.897)
Pd (0.448, 0.735, 0.895)
Tl (0.182, 0.704, 0.485)
Tl (0.870, 0.069, 0.020)